VCdRh3: optimized geometry, PBE.

The structure in POSCAR format:
```
VCdRh3
1.0
4.5089 0.0000 0.0000
0.0000 4.5089 0.0000
0.0000 0.0000 4.5089
Cd Rh V
1 3 1
Cartesian
2.2545 2.2545 2.2545 Cd
0.0000 2.2545 0.0000 Rh
0.0000 0.0000 2.2545 Rh
2.2545 0.0000 0.0000 Rh
0.0000 0.0000 0.0000 V
```

E above lowest polymorph   0 meV per atom
ρ   8.55 g cm⁻³
Symmetry   Pm-3m (221)
Total moment   0.000 μB/f.u.
Formation enthalpy at 0 K   0.462 eV per atom
Calculated total energy   -5.956 eV per atom

=====

FeHgAu2: optimized geometry, PBE.

The structure in POSCAR format:
```
FeHgAu2
1.0
-0.1076 3.5899 3.5413
-0.3584 0.9996 4.9307
4.9383 0.2687 1.3926
Au Fe Hg
2 1 1
Cartesian
4.8325 0.3437 1.5133 Au
2.3420 2.3541 4.8116 Au
3.3542 3.6436 7.3984 Fe
1.1181 1.2145 2.4661 Hg
```

ρ   15.13 g cm⁻³
Symmetry   C2/m (12)
Total moment   3.026 μB/f.u.
Formation enthalpy at 0 K   0.227 eV per atom
Calculated total energy   -3.603 eV per atom

=====

Ca2LaZnC: optimized geometry, PBE.

The structure in POSCAR format:
```
Ca2LaZnC
1.0
5.1633 0.0000 0.0000
0.0000 5.1633 0.0000
0.0000 0.0000 4.9423
C Zn Ca La
1 1 2 1
Cartesian
0.0000 0.0000 0.0000 C
2.5817 2.5817 2.4712 Zn
0.0000 2.5817 0.0000 Ca
2.5817 0.0000 0.0000 Ca
0.0000 0.0000 2.4712 La
```

ρ   3.74 g cm⁻³
Symmetry   P4/mmm (123)
Total moment   0.768 μB/f.u.
Formation enthalpy at 0 K   0.043 eV per atom
Calculated total energy   -3.842 eV per atom

=====

TlCuAs2Pt: optimized geometry, PBE.

The structure in POSCAR format:
```
TlCuAs2Pt
1.0
-2.8039 0.9195 3.9517
2.5199 -3.8386 2.6812
3.3164 3.2866 1.5884
Tl Cu As Pt
1 1 2 1
Cartesian
1.2600 -1.9193 1.3406 Tl
1.5162 0.1838 4.1107 Cu
1.6582 1.6433 0.7942 As
-1.4020 0.4598 1.9759 As
0.0000 0.0000 0.0000 Pt
```

ρ   7.87 g cm⁻³
Symmetry   P4/mmm (123)
Total moment   0.000 μB/f.u.
Formation enthalpy at 0 K   0.677 eV per atom
Calculated total energy   -3.684 eV per atom

=====

CaMgCd: optimized geometry, PBE.

The structure in POSCAR format:
```
CaMgCd
1.0
-5.6769 0.1168 -2.2167
1.6929 -4.6361 3.5771
-2.9676 4.9829 7.8625
Ca Mg Cd
4 4 4
Cartesian
-4.1665 0.1094 2.1821 Ca
-1.3572 -2.0697 3.1703 Ca
-3.1657 0.9670 7.9619 Ca
-5.2647 1.9533 5.0916 Ca
-1.0023 -1.3634 6.5560 Mg
-1.6273 -0.7416 -0.1442 Mg
-3.5981 -2.9772 0.5288 Mg
-4.4410 -0.6803 -1.2450 Mg
0.9396 -3.3876 5.5188 Cd
-0.5529 -0.8815 9.4732 Cd
-3.7969 -1.2878 5.4533 Cd
-1.8561 0.9138 4.7906 Cd
```

ρ   3.70 g cm⁻³
Symmetry   Amm2 (38)
Total moment   0.000 μB/f.u.
Formation enthalpy at 0 K   -0.249 eV per atom
Calculated total energy   -1.753 eV per atom

=====

Tb4Nd2In: optimized geometry, PBE.

The structure in POSCAR format:
```
Tb4Nd2In
1.0
-8.0247 3.5338 -6.3057
-2.1826 -6.1298 -0.6576
-1.4845 6.8789 5.7443
Nd Tb In
4 8 2
Cartesian
-2.3735 -2.7159 0.6997 Nd
-9.3183 6.9988 -1.9188 Nd
-7.0904 2.4722 0.3606 Nd
-4.6015 1.8107 -1.5797 Nd
-8.0292 -1.8704 -4.7056 Tb
-8.8786 3.4117 -2.4420 Tb
-6.2437 5.7968 -0.9003 Tb
-6.9365 1.1939 -4.3757 Tb
-4.7553 3.0890 3.1566 Tb
-5.4482 -1.5139 -0.3188 Tb
-2.8132 0.8712 1.2230 Tb
-3.6627 6.1533 3.4865 Tb
0.0000 0.0000 0.0000 In
-5.1037 -1.2980 -3.4817 In
```

E above lowest polymorph   17 meV per atom
ρ   7.74 g cm⁻³
Symmetry   P2_1/c (14)
Total moment   0.000 μB/f.u.
Formation enthalpy at 0 K   -0.050 eV per atom
Calculated total energy   -4.449 eV per atom

=====

CaTcW2: optimized geometry, PBE.

The structure in POSCAR format:
```
CaTcW2
1.0
0.0000 3.2445 3.2445
3.2445 0.0000 3.2445
3.2445 3.2445 0.0000
Ca Tc W
1 1 2
Cartesian
0.0000 0.0000 0.0000 Ca
3.2445 3.2445 3.2445 Tc
1.6223 1.6223 1.6223 W
4.8668 4.8668 4.8668 W
```

E above lowest polymorph   343 meV per atom
ρ   12.29 g cm⁻³
Symmetry   Fm-3m (225)
Total moment   0.000 μB/f.u.
Formation enthalpy at 0 K   0.837 eV per atom
Calculated total energy   -8.731 eV per atom

=====

Ce4Pu2Al3: optimized geometry, PBE.

The structure in POSCAR format:
```
Ce4Pu2Al3
1.0
-1.4579 -4.8599 0.8695
5.4719 0.7708 -1.7556
-2.7730 2.3803 8.6542
Ce Pu Al
4 2 3
Cartesian
1.0051 -2.9238 0.5823 Ce
0.2358 1.2149 7.1858 Ce
1.7671 -2.4078 4.7436 Ce
-0.5261 0.6990 3.0245 Ce
-0.2757 -2.1434 2.7963 Pu
1.5167 0.4346 4.9718 Pu
-1.0568 -1.3759 5.7761 Al
0.0000 0.0000 0.0000 Al
2.2978 -0.3329 1.9920 Al
```

E above lowest polymorph   0 meV per atom
ρ   9.20 g cm⁻³
Symmetry   C2/m (12)
Total moment   11.550 μB/f.u.
Formation enthalpy at 0 K   -0.200 eV per atom
Calculated total energy   -7.270 eV per atom

=====

Tb2PrSm3As6: optimized geometry, PBE.

The structure in POSCAR format:
```
Tb2PrSm3As6
1.0
7.2846 -0.0006 0.0010
-3.6410 6.3094 0.0010
-1.2147 -2.1032 6.8687
Tb Pr Sm As
2 1 3 6
Cartesian
-0.0032 4.2084 0.0010 Tb
3.6468 2.1004 0.0010 Tb
0.0000 0.0000 0.0000 Pr
-2.4409 4.2139 3.4353 Sm
4.8698 -0.0083 3.4353 Sm
1.2144 2.1028 3.4353 Sm
3.6622 2.0680 5.1596 As
2.4090 4.1712 1.7056 As
-1.2333 2.1376 1.7110 As
-0.0390 4.2055 5.1596 As
0.0199 0.0344 5.1650 As
2.4678 0.0001 1.7110 As
```

ρ   7.15 g cm⁻³
Symmetry   C2/m (12)
Total moment   0.000 μB/f.u.
Formation enthalpy at 0 K   -1.522 eV per atom
Calculated total energy   -6.197 eV per atom

=====

Dy3GaRh3: optimized geometry, PBE.

The structure in POSCAR format:
```
Dy3GaRh3
1.0
4.1058 0.0000 0.0000
-2.0529 5.1674 0.0000
0.0000 0.0000 13.5689
Dy Ga Rh
6 2 6
Cartesian
0.0000 2.0649 12.1301 Dy
2.0529 3.1025 1.4388 Dy
0.0000 2.0649 8.2233 Dy
2.0529 3.1025 5.3456 Dy
0.0000 4.9202 10.1767 Dy
2.0529 0.2472 3.3922 Dy
2.0529 0.0000 0.0000 Ga
2.0529 0.0000 6.7845 Ga
2.0529 4.2790 12.3652 Rh
0.0000 0.8884 1.2037 Rh
2.0529 4.2790 7.9881 Rh
0.0000 0.8884 5.5808 Rh
2.0529 2.5975 10.1767 Rh
0.0000 2.5699 3.3922 Rh
```

ρ   9.99 g cm⁻³
Symmetry   Cmcm (63)
Total moment   0.000 μB/f.u.
Formation enthalpy at 0 K   -0.873 eV per atom
Calculated total energy   -6.428 eV per atom

=====

AgIrCl2: optimized geometry, PBE.

The structure in POSCAR format:
```
AgIrCl2
1.0
-1.3368 -1.8647 -2.1121
2.7254 -0.2632 -1.4926
1.8838 -6.5564 4.5961
Ir Ag Cl
1 1 2
Cartesian
0.9512 -3.3106 2.3207 Ir
2.0767 -5.8752 1.5704 Ag
1.7607 -6.1282 4.2959 Cl
1.3095 -3.2050 -0.3014 Cl
```

E above lowest polymorph   425 meV per atom
ρ   7.70 g cm⁻³
Symmetry   P4mm (99)
Total moment   2.079 μB/f.u.
Uncorrected formation energy   0.46 eV per atom
Calculated total energy   -3.391 eV per atom

=====

Ca2YAu: optimized geometry, PBE.

The structure in POSCAR format:
```
Ca2YAu
1.0
6.1743 0.0003 0.0000
2.5573 5.6198 0.0000
-4.3658 -2.8101 3.3415
Y Ca Au
1 2 1
Cartesian
4.3658 2.8101 0.0000 Y
0.0000 0.0000 0.0000 Ca
1.2787 2.8099 1.6707 Ca
3.0872 0.0002 1.6707 Au
```

E above lowest polymorph   280 meV per atom
ρ   5.24 g cm⁻³
Symmetry   I-4m2 (119)
Total moment   0.005 μB/f.u.
Formation enthalpy at 0 K   -0.125 eV per atom
Calculated total energy   -3.562 eV per atom

=====

MgIn3Pb: optimized geometry, PBE.

The structure in POSCAR format:
```
MgIn3Pb
1.0
-3.5822 1.9211 4.1025
-3.1539 -5.0893 -0.3708
3.3529 -6.0324 5.7526
Mg In Pb
2 6 2
Cartesian
-1.4258 -6.7719 8.0236 Mg
-1.9574 -2.4288 1.4606 Mg
-3.6102 -3.3438 4.5109 In
-2.0785 -0.8721 4.6910 In
-1.3048 -8.3286 4.7933 In
0.2270 -5.8569 4.9734 In
0.0000 0.0000 0.0000 In
-1.7911 0.9605 2.0512 In
-1.1183 -3.3291 6.6800 Pb
-2.2650 -5.8715 2.8042 Pb
```

E above lowest polymorph   0 meV per atom
ρ   6.52 g cm⁻³
Symmetry   Cmcm (63)
Total moment   0.000 μB/f.u.
Formation enthalpy at 0 K   0.106 eV per atom
Calculated total energy   -2.598 eV per atom

=====

LiCrNiIr: optimized geometry, PBE.

The structure in POSCAR format:
```
LiCrNiIr
1.0
4.0891 0.0000 0.0000
2.0446 3.5413 0.0000
2.0446 1.1804 3.3387
Ni Ir Li Cr
1 1 1 1
Cartesian
4.0891 2.3608 1.6694 Ni
0.0000 0.0000 0.0000 Ir
6.1337 3.5413 2.5041 Li
2.0446 1.1804 0.8347 Cr
```

ρ   10.64 g cm⁻³
Symmetry   F-43m (216)
Total moment   1.945 μB/f.u.
Formation enthalpy at 0 K   -0.078 eV per atom
Calculated total energy   -6.622 eV per atom

=====

Cu2Pt: optimized geometry, PBE.

The structure in POSCAR format:
```
Cu2Pt
1.0
4.3274 0.0000 0.0000
0.0000 4.3274 0.0000
0.0000 0.0000 2.6855
Cu Pt
2 1
Cartesian
0.0000 2.1637 1.3427 Cu
2.1637 0.0000 1.3427 Cu
0.0000 0.0000 0.0000 Pt
```

E above lowest polymorph   264 meV per atom
ρ   10.64 g cm⁻³
Symmetry   P4/mmm (123)
Total moment   0.000 μB/f.u.
Formation enthalpy at 0 K   0.118 eV per atom
Calculated total energy   -4.626 eV per atom

=====

NaAcPPt: optimized geometry, PBE.

The structure in POSCAR format:
```
NaAcPPt
1.0
5.1262 0.0000 0.0000
2.5631 4.4394 0.0000
2.5631 1.4798 4.1855
P Ac Pt Na
1 1 1 1
Cartesian
7.6893 4.4394 3.1391 P
0.0000 0.0000 0.0000 Ac
2.5631 1.4798 1.0464 Pt
5.1262 2.9596 2.0928 Na
```

ρ   8.30 g cm⁻³
Symmetry   F-43m (216)
Total moment   0.000 μB/f.u.
Formation enthalpy at 0 K   -0.592 eV per atom
Calculated total energy   -4.812 eV per atom

=====

Cr2Sb2Ir: optimized geometry, PBE.

The structure in POSCAR format:
```
Cr2Sb2Ir
1.0
-3.1238 0.1547 0.8260
-0.8133 -1.3577 -2.8213
-1.4292 -8.0673 2.4398
Sb Ir Cr
2 1 2
Cartesian
-1.8512 -2.2260 -0.2496 Sb
-3.5151 -7.0444 0.6943 Sb
0.0000 0.0000 0.0000 Ir
-3.2608 -4.2571 1.1341 Cr
-2.1055 -5.0133 -0.6895 Cr
```

E above lowest polymorph   130 meV per atom
ρ   10.40 g cm⁻³
Symmetry   I4/mmm (139)
Total moment   0.000 μB/f.u.
Uncorrected formation energy   0.53 eV per atom
Calculated total energy   -6.740 eV per atom

=====

NbCuMo2: optimized geometry, PBE.

The structure in POSCAR format:
```
NbCuMo2
1.0
0.0000 3.1532 3.1532
3.1532 0.0000 3.1532
3.1532 3.1532 0.0000
Mo Nb Cu
2 1 1
Cartesian
1.5766 1.5766 1.5766 Mo
4.7297 4.7297 4.7297 Mo
3.1532 3.1532 3.1532 Nb
0.0000 0.0000 0.0000 Cu
```

E above lowest polymorph   0 meV per atom
ρ   9.23 g cm⁻³
Symmetry   Fm-3m (225)
Total moment   0.000 μB/f.u.
Formation enthalpy at 0 K   0.323 eV per atom
Calculated total energy   -8.634 eV per atom

=====

SrEu3Rh: optimized geometry, PBE.

The structure in POSCAR format:
```
SrEu3Rh
1.0
-0.4357 -5.7277 -0.3209
5.6752 -0.4774 0.8147
-0.8377 -0.2549 5.6862
Eu Sr Rh
3 1 1
Cartesian
2.8376 -0.2387 0.4074 Eu
-0.4189 -0.1274 2.8431 Eu
-0.2179 -2.8638 -0.1605 Eu
2.2008 -3.2300 3.0900 Sr
0.0000 0.0000 0.0000 Rh
```

ρ   5.64 g cm⁻³
Symmetry   Pm-3m (221)
Total moment   21.561 μB/f.u.
Formation enthalpy at 0 K   -0.228 eV per atom
Calculated total energy   -8.199 eV per atom

=====

CaPuSe2: optimized geometry, PBE.

The structure in POSCAR format:
```
CaPuSe2
1.0
-3.4244 1.1609 2.0993
-0.7478 -1.5599 3.8064
2.1058 5.0775 4.7908
Ca Se Pu
1 2 1
Cartesian
0.0000 0.0000 0.0000 Ca
-1.5517 3.5060 8.0207 Se
-0.5147 1.1725 2.6757 Se
-1.0332 2.3392 5.3482 Pu
```

E above lowest polymorph   31 meV per atom
ρ   7.05 g cm⁻³
Symmetry   R-3m (166)
Total moment   5.925 μB/f.u.
Uncorrected formation energy   -1.73 eV per atom
Calculated total energy   -7.553 eV per atom

=====

CuNiIr3: optimized geometry, PBE.

The structure in POSCAR format:
```
CuNiIr3
1.0
-2.3687 -2.2010 -3.0580
-1.3982 -2.8407 3.1276
-3.4987 2.6254 0.8205
Ni Ir Cu
1 3 1
Cartesian
0.0000 0.0000 0.0000 Ni
-0.6991 -1.4203 1.5638 Ir
-1.7493 1.3127 0.4102 Ir
-1.1844 -1.1005 -1.5290 Ir
-3.6328 -1.2081 0.4450 Cu
```

E above lowest polymorph   0 meV per atom
ρ   13.17 g cm⁻³
Symmetry   Pm-3m (221)
Total moment   3.215 μB/f.u.
Formation enthalpy at 0 K   1.648 eV per atom
Calculated total energy   -5.644 eV per atom

=====

Ni2HgAs: optimized geometry, PBE.

The structure in POSCAR format:
```
Ni2HgAs
1.0
4.4347 0.0000 0.0000
2.2174 3.8406 0.0000
2.2174 1.2802 3.6209
As Hg Ni
1 1 2
Cartesian
4.4347 2.5604 1.8105 As
6.6521 3.8406 2.7157 Hg
0.0000 0.0000 0.0000 Ni
2.2174 1.2802 0.9052 Ni
```

ρ   10.58 g cm⁻³
Symmetry   F-43m (216)
Total moment   0.000 μB/f.u.
Formation enthalpy at 0 K   0.398 eV per atom
Calculated total energy   -3.730 eV per atom

=====

Tb2ThSc6: optimized geometry, PBE.

The structure in POSCAR format:
```
Tb2ThSc6
1.0
3.2895 0.0000 0.0000
1.6443 9.2381 1.5476
1.6443 3.5153 8.6821
Tb Th Sc
2 1 6
Cartesian
1.6457 4.4448 3.5653 Tb
4.9353 8.3085 6.6644 Tb
3.2891 0.0001 0.0001 Th
3.2872 10.3637 4.4898 Sc
3.2880 2.3896 5.7402 Sc
3.2880 6.1219 1.0872 Sc
3.2905 5.4084 6.3220 Sc
3.2905 7.3449 3.9078 Sc
3.2872 6.6316 9.1426 Sc
```

E above lowest polymorph   0 meV per atom
ρ   5.53 g cm⁻³
Symmetry   Immm (71)
Total moment   0.000 μB/f.u.
Formation enthalpy at 0 K   0.110 eV per atom
Calculated total energy   -5.964 eV per atom

=====

CdGa2Tc: optimized geometry, PBE.

The structure in POSCAR format:
```
CdGa2Tc
1.0
-2.1873 2.2770 1.1310
-1.6575 -0.1459 -2.9120
-3.4137 -4.3526 2.1611
Tc Ga Cd
1 2 1
Cartesian
-1.9224 1.0656 -0.8905 Tc
-2.6805 -3.4179 1.6970 Ga
-0.7331 -0.9348 0.4641 Ga
-3.6292 -1.1107 0.1900 Cd
```

ρ   8.70 g cm⁻³
Symmetry   P4/mmm (123)
Total moment   0.000 μB/f.u.
Formation enthalpy at 0 K   0.017 eV per atom
Calculated total energy   -4.317 eV per atom

=====

NdSmCu: optimized geometry, PBE.

The structure in POSCAR format:
```
NdSmCu
1.0
3.6870 0.0000 0.0000
-1.8435 3.1930 0.0000
0.0000 0.0000 7.1459
Nd Cu Sm
1 1 1
Cartesian
0.0000 0.0000 0.3192 Nd
1.8435 1.0643 2.4018 Cu
0.0000 2.1287 4.4249 Sm
```

E above lowest polymorph   163 meV per atom
ρ   7.07 g cm⁻³
Symmetry   P3m1 (156)
Total moment   0.000 μB/f.u.
Formation enthalpy at 0 K   0.057 eV per atom
Calculated total energy   -4.471 eV per atom

=====

TaCr2Te: optimized geometry, PBE.

The structure in POSCAR format:
```
TaCr2Te
1.0
-1.4564 0.6837 -3.8184
-0.8015 -4.0437 -0.4184
-9.1222 -0.4342 1.1533
Cr Te Ta
4 2 2
Cartesian
-3.2976 -0.1836 -2.1679 Cr
-2.9569 -2.5535 -0.4330 Cr
-7.6847 -1.5671 -0.7219 Cr
-8.8209 -3.2841 -2.8441 Cr
-1.1289 -1.6800 -2.1184 Te
-5.5263 -3.0789 -0.6917 Te
0.0000 0.0000 0.0000 Ta
-5.8537 -0.7152 -2.3918 Ta
```

ρ   9.14 g cm⁻³
Symmetry   I-42d (122)
Total moment   4.601 μB/f.u.
Uncorrected formation energy   0.83 eV per atom
Calculated total energy   -7.725 eV per atom

=====

EuZn2Ru: optimized geometry, PBE.

The structure in POSCAR format:
```
EuZn2Ru
1.0
4.6973 0.0000 0.0000
2.3487 4.0680 0.0000
2.3487 1.3560 3.8364
Eu Ru Zn
1 1 2
Cartesian
0.0000 0.0000 0.0000 Eu
4.6973 2.7120 1.9182 Ru
7.0460 4.0680 2.8770 Zn
2.3487 1.3560 0.9594 Zn
```

ρ   8.69 g cm⁻³
Symmetry   Fm-3m (225)
Total moment   6.919 μB/f.u.
Formation enthalpy at 0 K   0.067 eV per atom
Calculated total energy   -5.457 eV per atom